VASP calculation (GGA-PBE) on a relaxed BaCuO crystal.

Geometry as POSCAR:
```
BaCuO
1.0
-2.741 1.221 -2.658
-2.819 -0.377 2.733
-0.230 8.052 0.874
Cu Ba O
2 2 2
Cartesian
-3.025 3.401 -1.422 Cu
-4.232 4.614 0.346 Cu
-1.197 5.843 0.804 Ba
-3.323 0.950 0.782 Ba
-3.315 1.527 -1.976 O
-3.945 6.486 0.905 O
```

Calculated values
Raw formation energy = -1.3777 eV per atom
Magnetic moment = 0.0 μB per formula unit
Energy = -5.0368 eV/atom
SG = P2_1/m